# 1
Material: BeCr2BF
Method: DFT, PBE with a Hubbard U
State: relaxed

Computed properties:
Fermi-level density of states: 1.59 states/eV/cell
relative energy among the computed polymorphs: 330 meV per atom
size of the total moment: 1.566 μB per atom
crystal system: tetragonal

Unit cell a=4.3673 b=3.5022 c=4.3673 alpha=90.00 beta=90.00 gamma=90.00
With the nearest neighbours (Å) after each atom.
Fractional positions:
Cr (0.0000, 0.0000, 0.5000)  2 F 2.18
Cr (0.5000, 0.0000, 0.0000)  2 F 2.18
B (0.0000, 0.5000, 0.0000)  2 F 1.75
Be (0.5000, 0.5000, 0.5000)  8 Cr 2.80, 4 B 3.09
F (0.0000, 0.0000, 0.0000)  2 B 1.75

=====

# 2
Material: BeCr2BF
Method: DFT, PBE with a Hubbard U
State: relaxed

Computed properties:
Fermi-level density of states: 2.17 states/eV/cell
relative energy among the computed polymorphs: 0 meV per atom
size of the total moment: 1.690 μB per atom
crystal system: tetragonal

Unit cell a=4.5485 b=3.1060 c=4.5485 alpha=90.00 beta=90.00 gamma=90.00
With the nearest neighbours (Å) after each atom.
Fractional positions:
Cr (0.0000, 0.0000, 0.5000)  2 F 2.27
Cr (0.5000, 0.0000, 0.0000)  2 F 2.27
B (0.5000, 0.5000, 0.5000)  8 Cr 2.75
Be (0.0000, 0.5000, 0.0000)  2 F 1.55
F (0.0000, 0.0000, 0.0000)  2 Be 1.55